1.
Material: Sc
Method: DFT, PBE-GGA
State: relaxed

The structure belongs to space group Pm-3m (No. 221); the cell edges are 2.9660, 2.9660 and 2.9660 Å and the angles 90.00°, 90.00° and 90.00°. The distinct sites, in fractional coordinates, are Sc at (0.0000, 0.0000, 0.0000).

As for the formation enthalpy at 0 K: 713 meV per atom. The size of the total moment comes out at 0.854 μB per cell.

---

2.
Material: Sc
Method: DFT, PBE-GGA
State: relaxed

The structure belongs to space group P6/mmm (No. 191); the cell edges are 5.2387, 5.2387 and 2.8362 Å and the angles 90.00°, 90.00° and 120.00°. The distinct sites, in fractional coordinates, are Sc at (0.3333, 0.6667, 0.0000).

As for the formation enthalpy at 0 K: 1278 meV per atom. The size of the total moment comes out at 0.040 μB per cell.

---

3.
Material: Sc
Method: DFT, PBE-GGA
State: relaxed

The structure belongs to space group Fd-3m (No. 227, origin choice 2); the cell edges are 6.4087, 6.4087 and 6.4087 Å and the angles 90.00°, 90.00° and 90.00°. The distinct sites, in fractional coordinates, are Sc at (0.1250, 0.1250, 0.1250).

As for the formation enthalpy at 0 K: 1980 meV per atom. The size of the total moment comes out at 0.000 μB per cell.

---

4.
Material: Sc
Method: DFT, PBE-GGA
State: relaxed

The structure belongs to space group Im-3m (No. 229); the cell edges are 8.4774, 8.4774 and 8.4774 Å and the angles 90.00°, 90.00° and 90.00°. The distinct sites, in fractional coordinates, are Sc at (0.0000, 0.2500, 0.5000).

As for the formation enthalpy at 0 K: 2071 meV per atom. The size of the total moment comes out at 17.075 μB per cell.